Below is a geometry-optimized ZrFeSe2F structure, with properties calculated at the PBE with a Hubbard U level.

Summary:
Final energy in eV/atom: -5.674
Density in Mg/m³: 4.66

a = 5.277 Å, b = 5.277 Å, c = 4.142 Å
α = 90.00°, β = 90.00°, γ = 90.00°
Space group P4/mmm (No. 123)
Unique sites:
Zr  0.000  0.000  0.000 x1
Fe  0.500  0.500  0.500 x1
Se  0.000  0.500  0.000 x2
F  0.000  0.000  0.500 x1